Entry 1:
An optimized crystal structure of ScSbTe2, computed with PBE-GGA.

## Properties
E_tot, eV per atom: -4.666
Uncorrected formation energy, kJ per mole of atoms: -46.5

a b c (Å): 5.7074 5.7074 6.2334
angles (deg): 85.70 85.70 39.21
Last column: nearest neighbours and their distance in Å.
Sites, in units of the cell vectors:
Sb: 0.5513 0.5513 0.3841  3 Sc 2.95-3.11, 3 Te 2.98-3.16
Sc: 0.2794 0.2794 0.3523  4 Te 2.91-3.01, 3 Sb 2.95-3.11
Te: 0.9267 0.9267 0.0597  2 Sc 3.01, 1 Te 3.09, 2 Sb 3.16
Te: 0.7425 0.7425 0.7040  2 Sc 2.91, 1 Sb 2.98, 1 Te 3.09

Entry 2:
An optimized crystal structure of ScSbTe, computed with PBE-GGA.

## Properties
E_tot, eV per atom: -4.960
Uncorrected formation energy, kJ per mole of atoms: -41.3

a b c (Å): 4.9245 4.9245 3.8173
angles (deg): 90.00 90.00 120.00
Last column: nearest neighbours and their distance in Å.
Sites, in units of the cell vectors:
Sb: 0.0000 0.0000 0.0001  6 Te 3.42, 6 Sc 3.42, 2 Sb 3.82
Sc: 0.3333 0.6667 0.4999  3 Te 2.84
Te: 0.6667 0.3333 0.4999  3 Sc 2.84

Entry 3:
An optimized crystal structure of ScSbTe2, computed with PBE-GGA.

## Properties
E_tot, eV per atom: -4.260
Uncorrected formation energy, kJ per mole of atoms: -7.3

a b c (Å): 5.3075 5.3075 5.3075
angles (deg): 60.00 60.00 60.00
Last column: nearest neighbours and their distance in Å.
Sites, in units of the cell vectors:
Sb: 0.5000 0.5000 0.5000  4 Sc 3.25, 4 Te 3.25
Sc: 0.7500 0.7500 0.7500  4 Sb 3.25, 4 Te 3.25
Te: 0.0000 0.0000 0.0000  4 Sc 3.25, 4 Te 3.25
Te: 0.2500 0.2500 0.2500  4 Sb 3.25, 4 Te 3.25

Entry 4:
An optimized crystal structure of ScSbTe2, computed with PBE-GGA.

## Properties
E_tot, eV per atom: -4.509
Uncorrected formation energy, kJ per mole of atoms: -31.3

a b c (Å): 3.2356 3.2356 11.6474
angles (deg): 90.00 90.00 99.57
Last column: nearest neighbours and their distance in Å.
Sites, in units of the cell vectors:
Sb: 0.0000 0.0000 0.5657  4 Sc 3.02-3.30, 4 Sb 3.24
Sc: 0.5000 0.5000 0.7533  4 Te 2.92-3.20, 2 Sb 3.02, 4 Sc 3.24
Te: 0.0000 0.0000 0.9284  4 Sc 2.92-3.20, 4 Te 3.24
Te: 0.5000 0.5000 0.2525  4 Te 3.24

Entry 5:
An optimized crystal structure of ScSb2Te, computed with PBE-GGA.

## Properties
E_tot, eV per atom: -4.558
Uncorrected formation energy, kJ per mole of atoms: -12.4

a b c (Å): 11.7452 11.7452 11.7452
angles (deg): 16.36 16.36 16.36
Last column: nearest neighbours and their distance in Å.
Sites, in units of the cell vectors:
Sb: 0.9844 0.9844 0.9844  3 Sc 3.04, 6 Sb 3.34
Sb: 0.5156 0.5156 0.5156  3 Sc 3.04, 6 Sb 3.34
Sc: 0.2500 0.2500 0.2500  6 Sb 3.04, 6 Sc 3.34
Te: 0.7500 0.7500 0.7500  6 Te 3.34

Entry 6:
An optimized crystal structure of ScSb2Te, computed with PBE-GGA.

## Properties
E_tot, eV per atom: -4.684
Uncorrected formation energy, kJ per mole of atoms: -24.6

a b c (Å): 3.1645 3.1645 11.6270
angles (deg): 90.00 90.00 90.05
Last column: nearest neighbours and their distance in Å.
Sites, in units of the cell vectors:
Sb: 0.0000 0.0000 0.0612  4 Sc 3.13-3.14, 4 Sb 3.16
Sb: 0.0000 0.0000 0.4388  4 Sc 3.13-3.14, 4 Sb 3.16
Sc: 0.5000 0.5000 0.2500  8 Sb 3.13-3.14, 4 Sc 3.16
Te: 0.5000 0.5000 0.7500  4 Te 3.16

Entry 7:
An optimized crystal structure of Sc5SbTe4, computed with PBE-GGA.

## Properties
E_tot, eV per atom: -5.922
Uncorrected formation energy, kJ per mole of atoms: -104.9

a b c (Å): 4.1687 5.8768 11.0336
angles (deg): 105.45 100.89 90.00
Last column: nearest neighbours and their distance in Å.
Sites, in units of the cell vectors:
Sc: 0.5962 0.0962 0.1924  2 Sb 2.89, 4 Te 2.94-2.99
Sc: 0.7989 0.2989 0.5977  6 Te 2.94-2.95
Sc: 0.2011 0.7011 0.4023  6 Te 2.94-2.95
Sc: 0.0000 0.5000 0.0000  2 Sb 2.94, 4 Te 2.96
Sc: 0.4038 0.9038 0.8076  2 Sb 2.89, 4 Te 2.94-2.99
Sb: 0.0000 0.0000 0.0000  6 Sc 2.89-2.94
Te: 0.3993 0.3993 0.7985  6 Sc 2.94-2.96
Te: 0.8013 0.8013 0.6026  6 Sc 2.94-2.99
Te: 0.1987 0.1987 0.3974  6 Sc 2.94-2.99
Te: 0.6007 0.6007 0.2015  6 Sc 2.94-2.96

Entry 8:
An optimized crystal structure of ScSbTe2, computed with PBE-GGA.

## Properties
E_tot, eV per atom: -4.642
Uncorrected formation energy, kJ per mole of atoms: -44.2

a b c (Å): 3.7700 3.7700 7.6247
angles (deg): 90.00 90.00 90.00
Last column: nearest neighbours and their distance in Å.
Sites, in units of the cell vectors:
Sb: 0.0000 0.0000 0.5265  5 Te 3.11-3.21, 4 Sc 3.15
Sc: 0.5000 0.5000 0.7460  4 Te 3.03, 4 Sb 3.15
Te: 0.0000 0.0000 0.9347  4 Sc 3.03, 1 Sb 3.11
Te: 0.5000 0.5000 0.2928  4 Sb 3.21, 1 Sc 3.46

Entry 9:
An optimized crystal structure of ScSbTe, computed with PBE-GGA.

## Properties
E_tot, eV per atom: -5.084
Uncorrected formation energy, kJ per mole of atoms: -53.2

a b c (Å): 8.0395 7.9470 3.3991
angles (deg): 79.25 76.20 24.54
Last column: nearest neighbours and their distance in Å.
Sites, in units of the cell vectors:
Sb: 0.0345 0.0345 0.9655  4 Sc 3.08-3.31, 4 Sb 3.40
Sc: 0.6725 0.6725 0.3275  4 Te 2.90-3.15, 2 Sb 3.08
Te: 0.2930 0.2930 0.7070  4 Sc 2.90-3.15

Entry 10:
An optimized crystal structure of ScSbTe, computed with PBE-GGA.

## Properties
E_tot, eV per atom: -5.165
Uncorrected formation energy, kJ per mole of atoms: -61.1

a b c (Å): 5.9531 5.9531 5.9531
angles (deg): 143.03 143.03 53.28
Last column: nearest neighbours and their distance in Å.
Sites, in units of the cell vectors:
Sb: 0.9825 0.9825 0.0000  1 Te 3.08, 4 Sc 3.15
Sc: 0.3248 0.3248 0.0000  4 Te 3.02, 4 Sb 3.15
Te: 0.6927 0.6927 0.0000  4 Sc 3.02, 1 Sb 3.08

Entry 11:
An optimized crystal structure of ScSbTe2, computed with PBE-GGA.

## Properties
E_tot, eV per atom: -4.371
Uncorrected formation energy, kJ per mole of atoms: -18.0

a b c (Å): 6.1602 6.1602 6.1602
angles (deg): 137.26 137.26 62.04
Last column: nearest neighbours and their distance in Å.
Sites, in units of the cell vectors:
Sb: 0.7500 0.2500 0.5000  4 Sc 3.17, 8 Te 3.47
Sc: 0.2500 0.7500 0.5000  4 Sb 3.17, 8 Te 3.47
Te: 0.0000 0.0000 0.0000  4 Te 3.17, 4 Sb 3.47, 4 Sc 3.47
Te: 0.5000 0.5000 0.0000  4 Te 3.17, 4 Sb 3.47, 4 Sc 3.47

Entry 12:
An optimized crystal structure of Sc4SbTe, computed with PBE-GGA.

## Properties
E_tot, eV per atom: -6.021
Polymorph energy (0 for the lowest one), meV/atom: 0
Uncorrected formation energy, kJ per mole of atoms: -56.9

a b c (Å): 7.5659 6.1228 7.6849
angles (deg): 105.60 112.80 105.24
Last column: nearest neighbours and their distance in Å.
Sites, in units of the cell vectors:
Sc: 0.9165 0.3384 0.1166  2 Te 3.01-3.06, 2 Sb 3.01, 3 Sc 3.12-3.34
Sc: 0.7002 0.7783 0.1166  2 Te 3.01-3.06, 2 Sb 3.01, 3 Sc 3.12-3.34
Sc: 0.3898 0.6824 0.6658  2 Sb 2.91-2.93, 2 Te 2.93-3.00, 2 Sc 3.02-3.12
Sc: 0.6102 0.3176 0.3342  2 Sb 2.91-2.93, 2 Te 2.93-3.00, 2 Sc 3.02-3.12
Sc: 0.2239 0.0166 0.3342  2 Sb 2.91-2.93, 2 Te 2.93-3.00, 2 Sc 3.02-3.12
Sc: 0.2998 0.2217 0.8834  2 Te 3.01-3.06, 2 Sb 3.01, 3 Sc 3.12-3.34
Sc: 0.7761 0.9834 0.6658  2 Sb 2.91-2.93, 2 Te 2.93-3.00, 2 Sc 3.02-3.12
Sc: 0.0835 0.6616 0.8834  2 Te 3.01-3.06, 2 Sb 3.01, 3 Sc 3.12-3.34
Sb: 0.9981 0.7481 0.4963  8 Sc 2.91-3.01, 2 Sb 3.06
Sb: 0.0019 0.2519 0.5037  8 Sc 2.91-3.01, 2 Sb 3.06
Te: 0.3814 0.6314 0.2629  8 Sc 2.93-3.06
Te: 0.6186 0.3686 0.7371  8 Sc 2.93-3.06

Entry 13:
An optimized crystal structure of ScSbTe, computed with PBE-GGA.

## Properties
E_tot, eV per atom: -5.001
Uncorrected formation energy, kJ per mole of atoms: -45.2

a b c (Å): 5.0023 5.0023 5.0023
angles (deg): 60.00 60.00 60.00
Last column: nearest neighbours and their distance in Å.
Sites, in units of the cell vectors:
Sb: 0.5000 0.5000 0.5000  4 Sc 3.06
Sc: 0.7500 0.7500 0.7500  4 Sb 3.06, 4 Te 3.06
Te: 0.0000 0.0000 0.0000  4 Sc 3.06

Entry 14:
An optimized crystal structure of ScSbTe3, computed with PBE-GGA.

## Properties
E_tot, eV per atom: -3.654
Polymorph energy (0 for the lowest one), meV/atom: 975
Uncorrected formation energy, kJ per mole of atoms: 31.0

a b c (Å): 5.6478 5.6478 5.6478
angles (deg): 90.00 90.00 90.00
Last column: nearest neighbours and their distance in Å.
Sites, in units of the cell vectors:
Sc: 0.5000 0.5000 0.5000  12 Te 3.99
Sb: 0.0000 0.0000 0.0000  6 Te 2.82
Te: 0.0000 0.5000 0.0000  2 Sb 2.82
Te: 0.0000 0.0000 0.5000  2 Sb 2.82
Te: 0.5000 0.0000 0.0000  2 Sb 2.82